VASP calculation (PBE with a Hubbard U) on NaAc2FeO6 after structural relaxation.

The value obtained for the energy is -6.746 eV/atom.

It has space group Fm-3m (No. 225), with a = 8.031 Å, b = 8.031 Å, c = 8.031 Å, α = 90.00°, β = 90.00° and γ = 90.00°. The asymmetric unit holds Na at (0.000, 0.000, 0.000), Ac at (0.250, 0.250, 0.250), Fe at (0.000, 0.000, 0.500) and O at (0.000, 0.000, 0.268).